Entry 1:
DFT (meta-GGA SCAN) results for BeCdFe2 at its PBEsol-relaxed geometry.

The structure in CIF format:
```
data_BeCdFe2
_chemical_formula_sum 'Be1 Cd1 Fe2'
_symmetry_space_group_name_H-M 'P 4/m m m'
_symmetry_Int_Tables_number 123
_symmetry_space_group_name_Hall '-P 4 2'
_cell_length_a 2.641
_cell_length_b 2.641
_cell_length_c 6.905
_cell_angle_alpha 90.00
_cell_angle_beta 90.00
_cell_angle_gamma 90.00
loop_
_atom_site_label
_atom_site_fract_x
_atom_site_fract_y
_atom_site_fract_z
_atom_site_occupancy
Be1 0.000 0.000 0.000 1
Cd1 0.000 0.000 0.500 1
Fe1 0.500 0.500 0.196 1
```

## Properties
E above lowest polymorph	0.00	eV/f.u.
magnetization	4.8	μB per formula unit

Entry 2:
DFT (meta-GGA SCAN) results for BeCd3Ge at its PBEsol-relaxed geometry.

The structure in CIF format:
```
data_BeCd3Ge
_chemical_formula_sum 'Be1 Cd3 Ge1'
_symmetry_space_group_name_H-M 'P m -3 m'
_symmetry_Int_Tables_number 221
_symmetry_space_group_name_Hall '-P 4 2 3'
_cell_length_a 5.094
_cell_length_b 5.094
_cell_length_c 5.094
_cell_angle_alpha 90.00
_cell_angle_beta 90.00
_cell_angle_gamma 90.00
loop_
_atom_site_label
_atom_site_fract_x
_atom_site_fract_y
_atom_site_fract_z
_atom_site_occupancy
Be1 0.000 0.000 0.000 1
Cd1 0.000 0.500 0.500 1
Ge1 0.500 0.500 0.500 1
```

## Properties
magnetization	0.0	μB per formula unit
energy	-22.0730	eV/atom

Entry 3:
DFT (meta-GGA SCAN) results for BeCdGe3 at its PBEsol-relaxed geometry.

The structure in CIF format:
```
data_BeCdGe3
_chemical_formula_sum 'Be1 Cd1 Ge3'
_symmetry_space_group_name_H-M 'P m -3 m'
_symmetry_Int_Tables_number 221
_symmetry_space_group_name_Hall '-P 4 2 3'
_cell_length_a 4.524
_cell_length_b 4.524
_cell_length_c 4.524
_cell_angle_alpha 90.00
_cell_angle_beta 90.00
_cell_angle_gamma 90.00
loop_
_atom_site_label
_atom_site_fract_x
_atom_site_fract_y
_atom_site_fract_z
_atom_site_occupancy
Be1 0.000 0.000 0.000 1
Cd1 0.500 0.500 0.500 1
Ge1 0.000 0.000 0.500 1
```

## Properties
magnetization	0.0	μB per formula unit
energy	-17.9128	eV/atom